## ZrSc2Re (GGA-PBE)

Data for a relaxed ZrSc2Re crystal.

POSCAR file:
```
ZrSc2Re
1.0
3.649 0.000 0.000
0.000 4.553 0.000
0.000 0.000 4.775
Zr Sc Re
1 2 1
direct
0.000 0.000 0.000
0.000 0.500 0.500
0.500 0.000 0.500
0.500 0.500 0.000
```

---

## ZrScRe (GGA-PBE)

Data for a relaxed ZrScRe crystal.

POSCAR file:
```
ZrScRe
1.0
0.000 4.964 9.599
2.622 0.000 9.599
2.622 4.964 0.000
Zr Sc Re
4 4 4
direct
0.039 0.039 0.211
0.211 0.211 0.039
0.789 0.789 0.961
0.961 0.961 0.789
0.215 0.535 0.215
0.465 0.785 0.465
0.535 0.215 0.535
0.785 0.465 0.785
0.250 0.250 0.500
0.500 0.500 0.250
0.500 0.500 0.750
0.750 0.750 0.500
```

---

## ZrSc2Re (GGA-PBE)

Data for a relaxed ZrSc2Re crystal.

POSCAR file:
```
ZrSc2Re
1.0
1.580 0.912 9.567
-1.580 0.912 9.567
0.000 -1.825 9.567
Zr Sc Re
1 2 1
direct
0.000 0.000 0.000
0.237 0.237 0.237
0.763 0.763 0.763
0.500 0.500 0.500
```

---

## ZrSc2Re (GGA-PBE)

Data for a relaxed ZrSc2Re crystal.

POSCAR file:
```
ZrSc2Re
1.0
3.343 0.000 0.000
0.000 3.343 0.000
0.000 0.000 7.603
Zr Sc Re
1 2 1
direct
0.000 0.000 0.000
0.000 0.000 0.405
0.500 0.500 0.722
0.500 0.500 0.198
```

---

no.,calculated total energy (eV per atom),energy of formation (kJ/mol of formula units),M_tot (Bohr magnetons per cell)
1,-8.37,16,0.00
2,-9.20,-26,0.00
3,-8.28,52,0.00
4,-8.47,-21,0.98